The following is a PBE with a Hubbard U calculation of a relaxed structure of Tl2MoF2, from Alexandria.

Structure (POSCAR):
```
Tl2MoF2
1.0
8.1730 0.0000 0.0000
0.0000 8.1730 0.0000
0.0000 0.0000 3.3569
Tl Mo F
4 2 4
Direct
0.1460 0.3540 0.0000
0.3540 0.8540 0.0000
0.6460 0.1460 0.0000
0.8540 0.6460 0.0000
0.0000 0.0000 0.0000
0.5000 0.5000 0.0000
0.1221 0.6221 0.5000
0.3779 0.1221 0.5000
0.6221 0.8779 0.5000
0.8779 0.3779 0.5000
```

Properties
**Symmetry**: P4/mbm (127)
**Electronic total energy**: -3.750 eV/atom